Here is a geometry-optimized Cs5Au2IO structure from Alexandria. Energies are from GGA-PBE.

Unit cell a=10.1207 b=10.1207 c=10.1207 alpha=146.33 beta=130.10 gamma=61.55
With the nearest neighbours (Å) after each atom.
Positions (direct):
Cs 0.0000 0.0000 0.0000  2 O 2.93
Cs 0.1130 0.3787 0.7343  1 O 2.91
Cs 0.3556 0.6213 0.7343  1 O 2.91
Cs 0.6444 0.3787 0.2657  1 O 2.91
Cs 0.8870 0.6213 0.2657  1 O 2.91
Au 0.2071 0.2071 0.0000  7 Cs 3.60-3.85
Au 0.7929 0.7929 0.0000  7 Cs 3.60-3.85
I 0.5000 0.0000 0.5000  10 Cs 4.27
O 0.0000 0.5000 0.5000  6 Cs 2.91-2.93

Values from the calculation:
Its space group is Immm (71). Its total energy is -2.7478 eV/atom. The value obtained for the uncorrected formation energy is -0.82 eV per atom. The calculation puts the magnetization at 0.0 μB per cell.

***

Here is a geometry-optimized CsAuIO2 structure from Alexandria. Energies are from GGA-PBE.

Unit cell a=4.7303 b=4.7303 c=5.4910 alpha=90.00 beta=90.00 gamma=90.00
With the nearest neighbours (Å) after each atom.
Positions (direct):
Cs 0.0000 0.0000 0.0000  4 I 3.34, 8 O 3.62
Au 0.5000 0.5000 0.5000  4 O 2.37
I 0.5000 0.5000 0.0000  2 Au 2.75
O 0.0000 0.5000 0.5000  2 Au 2.37
O 0.5000 0.0000 0.5000  2 Au 2.37

Values from the calculation:
For the energy above the most stable polymorph in this dataset, the calculation gives 0 meV per atom. Its space group is P4/mmm (123). Its total energy is -2.9851 eV/atom. The value obtained for the uncorrected formation energy is 0.13 eV per atom. The calculation puts the magnetization at 0.5 μB per cell.

***

Here is a geometry-optimized Cs9AuI3O2 structure from Alexandria. Energies are from GGA-PBE.

Unit cell a=8.6335 b=8.6335 c=11.9859 alpha=90.00 beta=90.00 gamma=120.00
With the nearest neighbours (Å) after each atom.
Positions (direct):
Cs 0.0000 0.5000 0.0000  2 O 3.18
Cs 0.1746 0.3493 0.2884  1 O 2.80
Cs 0.1746 0.8254 0.2884  1 O 2.80
Cs 0.3493 0.1746 0.7116  1 O 2.80
Cs 0.5000 0.0000 0.0000  2 O 3.18
Cs 0.5000 0.5000 0.0000  2 O 3.18
Cs 0.6507 0.8254 0.2884  1 O 2.80
Cs 0.8254 0.1746 0.7116  1 O 2.80
Cs 0.8254 0.6507 0.7116  1 O 2.80
Au 0.0000 0.0000 0.5000  6 Cs 3.64
I 0.0000 0.0000 0.0000  12 Cs 4.32-4.33
I 0.3333 0.6667 0.7432  9 Cs 3.96-4.33
I 0.6667 0.3333 0.2568  9 Cs 3.96-4.33
O 0.3333 0.6667 0.1642  3 Cs 2.80
O 0.6667 0.3333 0.8358  3 Cs 2.80

Values from the calculation:
Its space group is P-3m1 (164). Its total energy is -2.7277 eV/atom. The value obtained for the uncorrected formation energy is -1.03 eV per atom. The calculation puts the magnetization at 0.0 μB per cell.

***

Here is a geometry-optimized Cs8Au3IO2 structure from Alexandria. Energies are from GGA-PBE.

Unit cell a=8.4174 b=8.4174 c=13.1846 alpha=90.00 beta=90.00 gamma=120.00
With the nearest neighbours (Å) after each atom.
Positions (direct):
Cs 0.1648 0.3297 0.2666  1 O 2.66
Cs 0.1648 0.8352 0.2666  1 O 2.66
Cs 0.3297 0.1648 0.7334  1 O 2.66
Cs 0.3333 0.6667 0.9895  1 O 2.64
Cs 0.6667 0.3333 0.0105  1 O 2.64
Cs 0.6703 0.8352 0.2666  1 O 2.66
Cs 0.8352 0.1648 0.7334  1 O 2.66
Cs 0.8352 0.6703 0.7334  1 O 2.66
Au 0.0000 0.0000 0.0000  6 Cs 4.26
Au 0.3333 0.6667 0.7207  1 Cs 3.54
Au 0.6667 0.3333 0.2793  1 Cs 3.54
I 0.0000 0.0000 0.5000  6 Cs 3.90
O 0.3333 0.6667 0.1901  4 Cs 2.64-2.66
O 0.6667 0.3333 0.8099  4 Cs 2.64-2.66

Values from the calculation:
Its space group is P-3m1 (164). Its total energy is -2.7237 eV/atom. The value obtained for the uncorrected formation energy is -0.71 eV per atom. The calculation puts the magnetization at 0.3 μB per cell.

***

Here is a geometry-optimized Cs2AuIO structure from Alexandria. Energies are from GGA-PBE.

Unit cell a=8.3240 b=4.4950 c=10.8316 alpha=90.00 beta=111.95 gamma=90.00
With the nearest neighbours (Å) after each atom.
Positions (direct):
Cs 0.1906 0.2500 0.4708  3 O 2.91-3.11
Cs 0.2027 0.2500 0.8607  2 O 3.04
Cs 0.7973 0.7500 0.1393  2 O 3.04
Cs 0.8094 0.7500 0.5292  3 O 2.91-3.11
Au 0.4489 0.7500 0.7378  1 O 2.05
Au 0.5511 0.2500 0.2622  1 O 2.05
I 0.3035 0.7500 0.1961  2 Au 2.95
I 0.6965 0.2500 0.8039  2 Au 2.95
O 0.1837 0.7500 0.6674  1 Au 2.05
O 0.8163 0.2500 0.3326  1 Au 2.05

Values from the calculation:
For the energy above the most stable polymorph in this dataset, the calculation gives 84 meV per atom. Its space group is P2_1/m (11). Its total energy is -3.1999 eV/atom. The value obtained for the uncorrected formation energy is -0.90 eV per atom. The calculation puts the magnetization at 0.0 μB per cell.

***

Here is a geometry-optimized CsAuI4O12 structure from Alexandria. Energies are from GGA-PBE.

Unit cell a=7.7277 b=7.7277 c=8.4625 alpha=106.60 beta=106.60 gamma=45.77
With the nearest neighbours (Å) after each atom.
Positions (direct):
Cs 0.0000 0.0000 0.0000  8 O 3.07-3.31
Au 0.8006 0.1994 0.5000  4 O 2.01-2.03
I 0.3635 0.3362 0.6538  3 O 1.80-1.93
I 0.3965 0.2383 0.1662  3 O 1.81-1.92
I 0.6638 0.6365 0.3462  3 O 1.80-1.93
I 0.7617 0.6035 0.8338  3 O 1.81-1.92
O 0.2158 0.4743 0.4617  1 I 1.82
O 0.3795 0.0305 0.2024  1 I 1.81
O 0.4011 0.5381 0.7897  1 I 1.80
O 0.4619 0.5989 0.2103  1 I 1.80
O 0.4979 0.1008 0.9607  1 I 1.82
O 0.5257 0.7842 0.5383  1 I 1.82
O 0.6919 0.0807 0.5975  1 I 1.93, 1 Au 2.03
O 0.7234 0.0790 0.2712  1 I 1.92, 1 Au 2.01
O 0.8992 0.5021 0.0393  1 I 1.82
O 0.9193 0.3081 0.4025  1 I 1.93, 1 Au 2.03
O 0.9210 0.2766 0.7288  1 I 1.92, 1 Au 2.01
O 0.9695 0.6205 0.7976  1 I 1.81

Values from the calculation:
For the energy above the most stable polymorph in this dataset, the calculation gives 7 meV per atom. Its space group is C2 (5). Its total energy is -4.3175 eV/atom. The value obtained for the uncorrected formation energy is -0.44 eV per atom. The calculation puts the magnetization at 0.0 μB per cell.

***

Number 2 is which compound? CsAuIO2

***

Which value of magnetization does entry 6 give? 0.0 μB per cell

***

Among the records above, which one has the highest magnetization? CsAuIO2

***

Look up the magnetization of the second one. 0.5 μB per cell